# Pm2MgSi4Ni3 | Alexandria | GGA-PBE | optimized geometry
data_Pm2MgSi4Ni3
_cell_length_a 4.0668
_cell_length_b 4.0668
_cell_length_c 10.0463
_cell_angle_alpha 90.00
_cell_angle_beta 90.00
_cell_angle_gamma 90.00
_space_group_name_H-M_alt 'P 1'
_space_group_IT_number 1
_space_group_name_Hall 'P 1'
loop_
_atom_site_label
_atom_site_type_symbol
_atom_site_fract_x
_atom_site_fract_y
_atom_site_fract_z
Pm1 Pm 0.0000 0.5000 0.2360
Pm2 Pm 0.5000 0.0000 0.7640
Mg1 Mg 0.0000 0.0000 0.5000
Si1 Si 0.0000 0.0000 0.0000
Si2 Si 0.0000 0.5000 0.6548
Si3 Si 0.5000 0.0000 0.3452
Si4 Si 0.5000 0.5000 0.0000
Ni1 Ni 0.0000 0.5000 0.8866
Ni2 Ni 0.5000 0.0000 0.1134
Ni3 Ni 0.5000 0.5000 0.5000
# formation energy without anion corrections: -7.0 eV/f.u.
# E: -5.7176 eV/atom
# V: 16.62 A^3/atom
# SG: P-4m2, No. 115
# total moment: 0.00 μB/atom

=====

# PmMgNi4Sn2 | Alexandria | GGA-PBE | optimized geometry
data_PmMgNi4Sn2
_cell_length_a 8.7075
_cell_length_b 8.7075
_cell_length_c 8.7075
_cell_angle_alpha 28.82
_cell_angle_beta 28.82
_cell_angle_gamma 28.82
_space_group_name_H-M_alt 'P 1'
_space_group_IT_number 1
_space_group_name_Hall 'P 1'
loop_
_atom_site_label
_atom_site_type_symbol
_atom_site_fract_x
_atom_site_fract_y
_atom_site_fract_z
Pm1 Pm 0.0000 0.0000 0.0000
Mg1 Mg 0.5000 0.5000 0.5000
Ni1 Ni 0.1306 0.1306 0.1306
Ni2 Ni 0.4003 0.4003 0.4003
Ni3 Ni 0.5997 0.5997 0.5997
Ni4 Ni 0.8694 0.8694 0.8694
Sn1 Sn 0.2413 0.2413 0.2413
Sn2 Sn 0.7587 0.7587 0.7587
# E: -5.0296 eV/atom
# V: 16.96 A^3/atom
# SG: R-3m, No. 166
# total moment: 0.00 μB/atom
# ΔH_f (0 K): -0.35 eV per atom

=====

Copy entry 2 word for word.
# PmMgNi4Sn2 | Alexandria | GGA-PBE | optimized geometry
data_PmMgNi4Sn2
_cell_length_a 8.7075
_cell_length_b 8.7075
_cell_length_c 8.7075
_cell_angle_alpha 28.82
_cell_angle_beta 28.82
_cell_angle_gamma 28.82
_space_group_name_H-M_alt 'P 1'
_space_group_IT_number 1
_space_group_name_Hall 'P 1'
loop_
_atom_site_label
_atom_site_type_symbol
_atom_site_fract_x
_atom_site_fract_y
_atom_site_fract_z
Pm1 Pm 0.0000 0.0000 0.0000
Mg1 Mg 0.5000 0.5000 0.5000
Ni1 Ni 0.1306 0.1306 0.1306
Ni2 Ni 0.4003 0.4003 0.4003
Ni3 Ni 0.5997 0.5997 0.5997
Ni4 Ni 0.8694 0.8694 0.8694
Sn1 Sn 0.2413 0.2413 0.2413
Sn2 Sn 0.7587 0.7587 0.7587
# E: -5.0296 eV/atom
# V: 16.96 A^3/atom
# SG: R-3m, No. 166
# total moment: 0.00 μB/atom
# ΔH_f (0 K): -0.35 eV per atom

=====

Q: The lowest E belongs to which entry?
A: Pm2MgSi4Ni3

=====

Q: Which of these has the lowest V?
A: Pm2MgSi4Ni3